1.
Entry from the Alexandria database: Sn3HgPd12 after structural relaxation (PBE).

```
Sn3HgPd12
1.0
4.043 0.000 0.000
0.000 4.043 0.000
0.000 0.000 16.189
Sn Hg Pd
3 1 12
direct
0.000 0.000 0.000 Sn
0.000 0.000 0.252 Sn
0.000 0.000 0.748 Sn
0.000 0.000 0.500 Hg
0.000 0.500 0.124 Pd
0.000 0.500 0.372 Pd
0.000 0.500 0.628 Pd
0.000 0.500 0.876 Pd
0.500 0.000 0.124 Pd
0.500 0.000 0.372 Pd
0.500 0.000 0.628 Pd
0.500 0.000 0.876 Pd
0.500 0.500 0.000 Pd
0.500 0.500 0.247 Pd
0.500 0.500 0.500 Pd
0.500 0.500 0.753 Pd
```

Computed properties:
Energy relative to the elements   -402 meV per atom
Density   11.5 Mg/m³

2.
Entry from the Alexandria database: Sn12Hg3Pd5 after structural relaxation (PBE).

```
Sn12Hg3Pd5
1.0
-8.153 8.153 8.153
8.153 -8.153 8.153
8.153 8.153 -8.153
Sn Hg Pd
48 12 20
direct
0.043 0.218 0.115 Sn
0.043 0.325 0.928 Sn
0.072 0.615 0.397 Sn
0.072 0.957 0.675 Sn
0.103 0.718 0.675 Sn
0.103 0.885 0.428 Sn
0.115 0.043 0.218 Sn
0.115 0.572 0.897 Sn
0.175 0.218 0.603 Sn
0.175 0.457 0.572 Sn
0.218 0.115 0.043 Sn
0.218 0.603 0.175 Sn
0.282 0.325 0.897 Sn
0.282 0.457 0.385 Sn
0.325 0.897 0.282 Sn
0.325 0.928 0.043 Sn
0.385 0.282 0.457 Sn
0.385 0.603 0.928 Sn
0.397 0.072 0.615 Sn
0.397 0.825 0.782 Sn
0.428 0.103 0.885 Sn
0.428 0.825 0.543 Sn
0.457 0.385 0.282 Sn
0.457 0.572 0.175 Sn
0.543 0.428 0.825 Sn
0.543 0.615 0.718 Sn
0.572 0.175 0.457 Sn
0.572 0.897 0.115 Sn
0.603 0.175 0.218 Sn
0.603 0.928 0.385 Sn
0.615 0.397 0.072 Sn
0.615 0.718 0.543 Sn
0.675 0.072 0.957 Sn
0.675 0.103 0.718 Sn
0.718 0.543 0.615 Sn
0.718 0.675 0.103 Sn
0.782 0.397 0.825 Sn
0.782 0.885 0.957 Sn
0.825 0.543 0.428 Sn
0.825 0.782 0.397 Sn
0.885 0.428 0.103 Sn
0.885 0.957 0.782 Sn
0.897 0.115 0.572 Sn
0.897 0.282 0.325 Sn
0.928 0.043 0.325 Sn
0.928 0.385 0.603 Sn
0.957 0.675 0.072 Sn
0.957 0.782 0.885 Sn
0.125 0.250 0.375 Hg
0.125 0.375 0.750 Hg
0.250 0.375 0.125 Hg
0.250 0.875 0.625 Hg
0.375 0.125 0.250 Hg
0.375 0.750 0.125 Hg
0.625 0.250 0.875 Hg
0.625 0.875 0.750 Hg
0.750 0.125 0.375 Hg
0.750 0.625 0.875 Hg
0.875 0.625 0.250 Hg
0.875 0.750 0.625 Hg
0.000 0.000 0.000 Pd
0.000 0.000 0.500 Pd
0.000 0.500 0.000 Pd
0.000 0.500 0.500 Pd
0.125 0.750 0.875 Pd
0.125 0.875 0.250 Pd
0.250 0.125 0.875 Pd
0.250 0.625 0.375 Pd
0.375 0.250 0.625 Pd
0.375 0.625 0.750 Pd
0.500 0.000 0.000 Pd
0.500 0.000 0.500 Pd
0.500 0.500 0.000 Pd
0.500 0.500 0.500 Pd
0.625 0.375 0.250 Pd
0.625 0.750 0.375 Pd
0.750 0.375 0.625 Pd
0.750 0.875 0.125 Pd
0.875 0.125 0.750 Pd
0.875 0.250 0.125 Pd
```

Computed properties:
Energy relative to the elements   -54 meV per atom
Density   7.8 Mg/m³

3.
Entry from the Alexandria database: Sn6HgPd after structural relaxation (PBE).

```
Sn6HgPd
1.0
6.833 -4.723 0.000
6.833 4.723 0.000
-6.688 0.000 7.225
Sn Hg Pd
12 2 2
direct
0.140 0.820 0.830 Sn
0.180 0.860 0.170 Sn
0.194 0.509 0.358 Sn
0.306 0.306 0.660 Sn
0.396 0.396 0.034 Sn
0.491 0.806 0.642 Sn
0.509 0.194 0.358 Sn
0.604 0.604 0.966 Sn
0.694 0.694 0.340 Sn
0.806 0.491 0.642 Sn
0.820 0.140 0.830 Sn
0.860 0.180 0.170 Sn
0.000 0.500 0.000 Hg
0.500 0.000 0.000 Hg
0.000 0.500 0.500 Pd
0.500 0.000 0.500 Pd
```

Computed properties:
Energy relative to the elements   -21 meV per atom
Density   7.3 Mg/m³

4.
Entry from the Alexandria database: Sn2Hg2Pd5 after structural relaxation (PBE).

```
Sn2Hg2Pd5
1.0
-8.253 3.756 2.868
8.253 -3.756 2.868
8.253 3.756 -2.868
Sn Hg Pd
4 4 10
direct
0.013 0.151 0.164 Sn
0.013 0.349 0.362 Sn
0.987 0.651 0.638 Sn
0.987 0.849 0.836 Sn
0.329 0.329 0.000 Hg
0.329 0.829 0.500 Hg
0.403 0.747 0.157 Hg
0.590 0.247 0.843 Hg
0.004 0.998 0.506 Pd
0.455 0.063 0.201 Pd
0.455 0.754 0.892 Pd
0.467 0.242 0.382 Pd
0.467 0.585 0.725 Pd
0.491 0.498 0.494 Pd
0.860 0.085 0.618 Pd
0.860 0.742 0.275 Pd
0.862 0.254 0.799 Pd
0.862 0.563 0.108 Pd
```

Computed properties:
Energy relative to the elements   -223 meV per atom
Density   10.9 Mg/m³

5.
Entry from the Alexandria database: Sn2HgPd6 after structural relaxation (PBE).

```
Sn2HgPd6
1.0
8.441 0.000 0.000
0.000 8.441 0.000
0.000 0.000 4.325
Sn Hg Pd
4 2 12
direct
0.198 0.198 0.000 Sn
0.302 0.698 0.500 Sn
0.698 0.302 0.500 Sn
0.802 0.802 0.000 Sn
0.000 0.000 0.500 Hg
0.500 0.500 0.000 Hg
0.021 0.334 0.500 Pd
0.142 0.858 0.000 Pd
0.166 0.521 0.000 Pd
0.334 0.021 0.500 Pd
0.358 0.358 0.500 Pd
0.479 0.834 0.000 Pd
0.521 0.166 0.000 Pd
0.642 0.642 0.500 Pd
0.666 0.979 0.500 Pd
0.834 0.479 0.000 Pd
0.858 0.142 0.000 Pd
0.979 0.666 0.500 Pd
```

Computed properties:
Energy relative to the elements   -373 meV per atom
Density   11.6 Mg/m³

6.
Entry from the Alexandria database: Sn2HgPd after structural relaxation (PBE).

```
Sn2HgPd
1.0
3.312 0.000 0.000
0.000 3.312 0.000
0.000 0.000 8.556
Sn Hg Pd
2 1 1
direct
0.000 0.000 0.200 Sn
0.000 0.000 0.800 Sn
0.500 0.500 0.500 Hg
0.500 0.500 0.000 Pd
```

Computed properties:
Energy relative to the elements   -197 meV per atom
Density   9.6 Mg/m³

7.
Entry from the Alexandria database: SnHgPd14 after structural relaxation (PBE).

```
SnHgPd14
1.0
5.721 0.000 0.000
0.000 5.721 0.000
0.000 0.000 7.805
Sn Hg Pd
1 1 14
direct
0.000 0.000 0.000 Sn
0.500 0.500 0.000 Hg
0.000 0.000 0.500 Pd
0.000 0.500 0.000 Pd
0.000 0.500 0.500 Pd
0.248 0.248 0.253 Pd
0.248 0.248 0.747 Pd
0.248 0.752 0.253 Pd
0.248 0.752 0.747 Pd
0.500 0.000 0.000 Pd
0.500 0.000 0.500 Pd
0.500 0.500 0.500 Pd
0.752 0.248 0.253 Pd
0.752 0.248 0.747 Pd
0.752 0.752 0.253 Pd
0.752 0.752 0.747 Pd
```

Computed properties:
Energy relative to the elements   -147 meV per atom
Density   11.8 Mg/m³

8.
Entry from the Alexandria database: Sn2HgPd2 after structural relaxation (PBE).

```
Sn2HgPd2
1.0
7.819 0.000 0.000
0.000 7.819 0.000
0.000 0.000 3.393
Sn Hg Pd
4 2 4
direct
0.158 0.342 0.000 Sn
0.342 0.842 0.000 Sn
0.658 0.158 0.000 Sn
0.842 0.658 0.000 Sn
0.000 0.000 0.500 Hg
0.500 0.500 0.500 Hg
0.135 0.635 0.500 Pd
0.365 0.135 0.500 Pd
0.635 0.865 0.500 Pd
0.865 0.365 0.500 Pd
```

Computed properties:
Energy relative to the elements   -281 meV per atom
Density   10.4 Mg/m³
Polymorph energy (0 for the lowest one)   0.000 eV/atom

| no. | electronic total energy (eV/atom) |
| --- | --- |
| 1 | -5.0659 |
| 2 | -3.7990 |
| 3 | -3.7095 |
| 4 | -4.0647 |
| 5 | -4.7580 |
| 6 | -3.5722 |
| 7 | -4.9601 |
| 8 | -4.0191 |